VASP calculation (GGA-PBE) on an optimized crystal structure of CrTeW.

Cell: 5.6685 5.6687 3.1263 Å, 73.99 74.00 32.01°
Positions (direct):
W 0.3551 0.3551 0.6449
Cr 0.9850 0.9850 0.0150
Te 0.6599 0.6599 0.3401

Values from the calculation:
Relative energy among the computed polymorphs in eV per formula unit: 0.75
SG: I4mm
Formation energy (no corrections) in eV/atom: 0.67
Raw total energy in eV per atom: -7.9036

VASP calculation (GGA-PBE) on an optimized crystal structure of MnZn2Ir.

Cell: 3.0330 4.3333 5.7263 Å, 48.22 90.00 90.00°
Each line ends with the local moment (μB).
Positions (direct):
Zn 0.0000 0.0000 0.0000  -0.02
Zn 0.5000 0.5000 0.0000  -0.06
Mn 0.0000 0.0000 0.5000  3.26
Ir 0.5000 0.5000 0.5000  0.11

Values from the calculation:
SG: P2/m
E_form in meV/atom: -109.3
Raw total energy in eV per atom: -5.2540

VASP calculation (GGA-PBE) on an optimized crystal structure of CaZnBr2.

Cell: 11.8041 11.8041 11.8041 Å, 20.75 20.75 20.75°
Positions (direct):
Br 0.1210 0.1210 0.1210
Br 0.8790 0.8790 0.8790
Zn 0.0000 0.0000 0.0000
Ca 0.5000 0.5000 0.5000

Values from the calculation:
Relative energy among the computed polymorphs in eV per formula unit: 0.00
SG: R-3m
Formation energy (no corrections) in eV/atom: -1.28
Raw total energy in eV per atom: -2.9307

VASP calculation (GGA-PBE) on an optimized crystal structure of SnSeCl2.

Cell: 9.7679 9.7679 9.7679 Å, 20.43 20.43 20.43°
Positions (direct):
Sn 0.5000 0.5000 0.5000
Se 0.0000 0.0000 0.0000
Cl 0.0844 0.0844 0.0844
Cl 0.9156 0.9156 0.9156

Values from the calculation:
Relative energy among the computed polymorphs in eV per formula unit: 0.48
SG: R-3m
Formation energy (no corrections) in eV/atom: -0.16
Raw total energy in eV per atom: -2.9508